(1)
## RbCePb2I8 (GGA-PBE)

Data for RbCePb2I8 after structural relaxation.

POSCAR file:
```
RbCePb2I8
1.0
7.487 0.000 0.000
0.113 7.939 0.000
0.012 0.006 9.916
Rb Ce Pb I
1 1 2 8
Cartesian
0.000 0.000 0.000 Rb
0.006 0.003 4.958 Ce
3.803 3.972 2.464 Pb
3.809 3.972 7.452 Pb
1.866 2.624 4.960 I
2.004 6.690 7.138 I
2.004 6.693 2.775 I
2.034 2.983 0.004 I
5.578 4.961 9.913 I
5.608 1.251 7.141 I
5.608 1.255 2.778 I
5.746 5.320 4.956 I
```

Values from the calculation:
Magnetic moment   1.000 μB/f.u.
Uncorrected formation energy   -0.98 eV/atom

---

(2)
## Ta2NbSe6 (GGA-PBE)

Data for Ta2NbSe6 after structural relaxation.

POSCAR file:
```
Ta2NbSe6
1.0
6.353 -2.322 0.000
6.353 2.322 0.000
-4.691 0.000 7.825
Ta Nb Se
2 1 6
Cartesian
1.453 0.000 0.650 Ta
6.561 0.000 7.175 Ta
-2.345 0.000 3.913 Nb
-0.701 0.000 1.829 Se
-0.667 0.000 7.403 Se
2.806 0.000 2.966 Se
5.209 0.000 4.859 Se
8.682 0.000 0.422 Se
8.716 0.000 5.997 Se
```

Values from the calculation:
Magnetic moment   1.279 μB/f.u.
Uncorrected formation energy   -0.41 eV/atom
Energy above the lowest structure with this stoichiometry   410 meV/atom

---

(3)
## CaYSc (GGA-PBE)

Data for CaYSc after structural relaxation.

POSCAR file:
```
CaYSc
1.0
7.791 -1.784 0.000
7.791 1.784 0.000
-1.609 0.000 6.914
Ca Y Sc
2 2 2
Cartesian
0.000 0.000 0.000 Ca
-0.804 0.000 3.457 Ca
3.942 0.000 4.605 Y
10.031 0.000 2.309 Y
4.737 0.000 1.072 Sc
9.235 0.000 5.841 Sc
```

Values from the calculation:
Magnetic moment   0.479 μB/f.u.
Energy above the lowest structure with this stoichiometry   49 meV/atom

---

(4)
## Co2CuSb (GGA-PBE)

Data for Co2CuSb after structural relaxation.

POSCAR file:
```
Co2CuSb
1.0
3.129 0.000 0.000
0.000 3.129 0.000
0.000 0.000 5.433
Co Cu Sb
2 1 1
Cartesian
0.000 0.000 1.322 Co
0.000 0.000 4.111 Co
1.564 1.564 0.000 Cu
1.564 1.564 2.717 Sb
```

Values from the calculation:
Magnetic moment   0.123 μB/f.u.
Uncorrected formation energy   0.23 eV/atom

---

(5)
## Dy2Si9B36C (GGA-PBE)

Data for Dy2Si9B36C after structural relaxation.

POSCAR file:
```
Dy2Si9B36C
1.0
6.252 -5.058 0.000
6.252 5.058 0.000
-2.137 0.000 7.720
Dy Si B C
2 9 36 1
Cartesian
6.252 2.537 0.000 Dy
6.252 -2.537 0.000 Dy
-1.635 0.000 6.453 Si
2.117 1.974 1.896 Si
2.007 1.960 5.820 Si
2.055 0.000 0.566 Si
1.998 0.000 7.168 Si
2.117 -1.974 1.896 Si
2.007 -1.960 5.820 Si
5.741 0.000 1.229 Si
8.962 0.000 3.523 Si
3.966 3.587 3.810 B
5.697 4.183 3.705 B
4.934 3.254 2.336 B
3.786 2.020 3.040 B
4.988 3.469 5.213 B
3.792 2.165 4.830 B
6.598 2.824 2.910 B
5.418 1.533 2.533 B
6.606 2.965 4.681 B
4.666 0.847 4.034 B
5.425 1.769 5.401 B
6.431 1.307 3.990 B
4.666 -0.847 4.034 B
6.129 0.911 6.722 B
8.759 1.464 0.619 B
3.786 -2.020 3.040 B
3.792 -2.165 4.830 B
7.689 0.000 0.420 B
7.842 1.449 7.020 B
5.418 -1.533 2.533 B
5.425 -1.769 5.401 B
6.129 -0.911 6.722 B
6.431 -1.307 3.990 B
7.500 0.000 5.974 B
3.966 -3.587 3.810 B
9.014 0.000 1.572 B
10.453 0.912 0.964 B
4.934 -3.254 2.336 B
4.988 -3.469 5.213 B
8.759 -1.464 0.619 B
6.598 -2.824 2.910 B
8.896 0.000 7.214 B
6.606 -2.965 4.681 B
7.842 -1.449 7.020 B
10.453 -0.912 0.964 B
5.697 -4.183 3.705 B
7.328 0.000 4.364 C
```

Values from the calculation:
Magnetic moment   0.000 μB/f.u.
Uncorrected formation energy   -0.21 eV/atom

---

(6)
## Zr2MnPb (GGA-PBE)

Data for Zr2MnPb after structural relaxation.

POSCAR file:
```
Zr2MnPb
1.0
-3.833 3.833 2.885
3.833 -3.833 2.885
3.833 3.833 -2.885
Zr Mn Pb
4 2 2
Cartesian
5.749 1.440 -0.721 Zr
1.440 1.916 0.721 Zr
-1.916 2.393 2.164 Zr
2.393 1.916 3.606 Zr
0.000 0.000 0.000 Mn
0.000 3.833 1.442 Mn
3.833 0.000 1.442 Pb
0.000 0.000 2.885 Pb
```

Values from the calculation:
Magnetic moment   0.000 μB/f.u.
E_tot   -0.2624 Ha/atom

---

(7)
## CeDy4Cd3 (GGA-PBE)

Data for CeDy4Cd3 after structural relaxation.

POSCAR file:
```
CeDy4Cd3
1.0
3.664 0.000 0.000
0.000 3.664 0.000
0.000 0.000 16.153
Ce Dy Cd
1 4 3
Cartesian
0.000 0.000 0.000 Ce
1.832 1.832 2.273 Dy
1.832 1.832 6.178 Dy
1.832 1.832 9.976 Dy
1.832 1.832 13.881 Dy
0.000 0.000 4.216 Cd
0.000 0.000 8.077 Cd
0.000 0.000 11.937 Cd
```

Values from the calculation:
Magnetic moment   0.334 μB/f.u.
E_tot   -0.1321 Ha/atom

---

(8)
## Pm4BAsCl2 (GGA-PBE)

Data for Pm4BAsCl2 after structural relaxation.

POSCAR file:
```
Pm4BAsCl2
1.0
7.186 0.000 0.000
0.000 4.056 0.000
-2.331 0.000 6.882
Pm B As Cl
4 1 1 2
Cartesian
1.051 0.000 1.424 Pm
-0.139 2.028 5.399 Pm
4.993 2.028 1.483 Pm
3.803 0.000 5.457 Pm
0.000 2.028 0.000 B
3.593 0.000 0.000 As
-1.166 0.000 3.441 Cl
2.427 2.028 3.441 Cl
```

Values from the calculation:
Magnetic moment   0.000 μB/f.u.
Uncorrected formation energy   -1.23 eV/atom